NbAg3Au after structural relaxation, computed with PBE.

Output
The value obtained for the total moment is 3.60 μB per formula unit. Its theoretical density is 7.8 g/cm³. The density of states at the Fermi level is 5.862 states/eV/cell. Its total energy is -15.893 eV/cell. Its space group is Pm-3m, No. 221. The calculated volume comes out at 129.9 Å³ per cell.

Cell lengths 5.064, 5.064, 5.064 Å; angles 90.00, 90.00, 90.00 degrees
Element x y z (fractional)
Ag 0.500 0.000 0.000
Ag 0.000 0.000 0.500
Ag 0.000 0.500 0.000
Nb 0.500 0.500 0.500
Au 0.000 0.000 0.000